--- one ---
Material: CaNdZnCd
Method: DFT, PBE
State: relaxed

Cell lengths 3.7571, 3.7571, 7.5956 Å; angles 90.00, 90.00, 90.00 degrees
Last column: nearest neighbours and their distance in Å.
Atoms (fractional coordinates):
1 Zn 0.0000 0.0000 0.3503  4 Nd 3.16, 4 Ca 3.24
2 Nd 0.5000 0.5000 0.1247  4 Zn 3.16, 4 Cd 3.34
3 Cd 0.0000 0.0000 0.8586  4 Ca 3.33, 4 Nd 3.34
4 Ca 0.5000 0.5000 0.5944  4 Zn 3.24, 4 Cd 3.33, 1 Nd 3.57

Computed properties:
Total magnetization = 0.2 μB/cell



--- two ---
Material: CaNdZnCd
Method: DFT, PBE
State: relaxed

Cell lengths 5.3232, 5.3232, 5.3232 Å; angles 60.00, 60.00, 60.00 degrees
Last column: nearest neighbours and their distance in Å.
Atoms (fractional coordinates):
1 Cd 0.7500 0.7500 0.7500  4 Ca 3.26, 4 Nd 3.26
2 Nd 0.5000 0.5000 0.5000  4 Cd 3.26, 4 Zn 3.26
3 Ca 0.0000 0.0000 0.0000  4 Zn 3.26, 4 Cd 3.26
4 Zn 0.2500 0.2500 0.2500  4 Nd 3.26, 4 Ca 3.26

Computed properties:
Total magnetization = 0.0 μB/cell



Q: What are the energies relative to the best structure? A: one 14; two 0, in meV per atom.



--- one ---
Material: Ca4CdNi
Method: DFT, PBE
State: relaxed

Cell lengths 6.4915, 6.4915, 6.4915 Å; angles 60.00, 60.00, 60.00 degrees
Last column: nearest neighbours and their distance in Å.
Atoms (fractional coordinates):
1 Ca 0.3746 0.3746 0.8763  6 Ca 3.23-3.26
2 Ca 0.8763 0.3746 0.3746  6 Ca 3.23-3.26
3 Ca 0.3746 0.8763 0.3746  6 Ca 3.23-3.26
4 Ca 0.3746 0.3746 0.3746  6 Ca 3.23-3.26
5 Cd 0.7500 0.7500 0.7500  12 Ca 3.81, 4 Ni 3.98
6 Ni 0.0000 0.0000 0.0000  12 Ca 3.80, 4 Cd 3.98

Computed properties:
Total magnetization = 0.3 μB/cell



--- two ---
Material: Ca4CdNi
Method: DFT, PBE
State: relaxed

Cell lengths 6.0883, 8.2658, 8.2658 Å; angles 111.99, 101.53, 101.53 degrees
Last column: nearest neighbours and their distance in Å.
Atoms (fractional coordinates):
1 Cd 0.7500 0.6269 0.3731  10 Ca 3.32-3.69
2 Cd 0.2500 0.3731 0.6269  10 Ca 3.32-3.69
3 Ca 0.0611 0.9408 0.2802  2 Ni 2.93-2.95
4 Ca 0.3529 0.7883 0.6380  2 Ni 3.06-3.11, 1 Cd 3.33
5 Ca 0.5611 0.2802 0.9408  2 Ni 2.93-2.95
6 Ca 0.8529 0.6380 0.7883  2 Ni 3.06-3.11, 1 Cd 3.33
7 Ca 0.6471 0.2117 0.3620  2 Ni 3.06-3.11, 1 Cd 3.33
8 Ca 0.4389 0.7198 0.0592  2 Ni 2.93-2.95
9 Ca 0.1471 0.3620 0.2117  2 Ni 3.06-3.11, 1 Cd 3.33
10 Ca 0.9389 0.0592 0.7198  2 Ni 2.93-2.95
11 Ni 0.7500 0.0007 0.9993  8 Ca 2.93-3.11, 2 Ni 3.04
12 Ni 0.2500 0.9993 0.0007  8 Ca 2.93-3.11, 2 Ni 3.04

Computed properties:
Total magnetization = 0.0 μB/cell



Q: What are the energies relative to the best structure? A: one 775; two 0, in meV per atom.



--- one ---
Material: Ca3CdNi
Method: DFT, PBE
State: relaxed

Cell lengths 5.4009, 5.4009, 5.4009 Å; angles 90.00, 90.00, 90.00 degrees
Last column: nearest neighbours and their distance in Å.
Atoms (fractional coordinates):
1 Ca 0.5000 0.0000 0.0000  2 Ni 2.70
2 Ca 0.0000 0.5000 0.0000  2 Ni 2.70
3 Ca 0.0000 0.0000 0.5000  2 Ni 2.70
4 Ni 0.0000 0.0000 0.0000  6 Ca 2.70
5 Cd 0.5000 0.5000 0.5000  12 Ca 3.82

Computed properties:
Total magnetization = 0.0 μB/cell



--- two ---
Material: Ca3CdNi
Method: DFT, PBE
State: relaxed

Cell lengths 4.2044, 8.3050, 8.7653 Å; angles 109.58, 90.00, 90.00 degrees
Last column: nearest neighbours and their distance in Å.
Atoms (fractional coordinates):
1 Ca 0.2500 0.6958 0.0843  1 Ni 3.09, 3 Cd 3.21-3.32
2 Ca 0.2500 0.9347 0.7603  3 Ni 2.91-3.05
3 Ca 0.7500 0.3042 0.9157  1 Ni 3.09, 3 Cd 3.21-3.32
4 Ca 0.2500 0.3253 0.5792  3 Ni 2.93-3.09
5 Ca 0.7500 0.0653 0.2397  3 Ni 2.91-3.05
6 Ca 0.7500 0.6747 0.4208  3 Ni 2.93-3.09
7 Cd 0.7500 0.6422 0.7941  8 Ca 3.21-3.40
8 Cd 0.2500 0.3578 0.2059  8 Ca 3.21-3.40
9 Ni 0.7500 0.0475 0.5658  2 Ni 2.40
10 Ni 0.2500 0.9525 0.4342  2 Ni 2.40

Computed properties:
Total magnetization = 0.0 μB/cell



Q: What are the energies relative to the best structure? A: one 102; two 0, in meV per atom.



--- one ---
Material: CaCdNi3
Method: DFT, PBE
State: relaxed

Cell lengths 4.5777, 4.5777, 4.5777 Å; angles 90.00, 90.00, 90.00 degrees
Last column: nearest neighbours and their distance in Å.
Atoms (fractional coordinates):
1 Ni 0.0000 0.0000 0.5000  2 Ca 2.29
2 Ni 0.0000 0.5000 0.0000  2 Ca 2.29
3 Ni 0.5000 0.0000 0.0000  2 Ca 2.29
4 Cd 0.5000 0.5000 0.5000  12 Ni 3.24
5 Ca 0.0000 0.0000 0.0000  6 Ni 2.29

Computed properties:
Total magnetization = 0.0 μB/cell



--- two ---
Material: CaCdNi3
Method: DFT, PBE
State: relaxed

Cell lengths 4.7339, 4.7339, 4.7339 Å; angles 90.00, 90.00, 90.00 degrees
Last column: nearest neighbours and their distance in Å.
Atoms (fractional coordinates):
1 Cd 0.0000 0.0000 0.0000  6 Ni 2.37
2 Ni 0.0000 0.0000 0.5000  2 Cd 2.37
3 Ni 0.5000 0.0000 0.0000  2 Cd 2.37
4 Ni 0.0000 0.5000 0.0000  2 Cd 2.37
5 Ca 0.5000 0.5000 0.5000  12 Ni 3.35

Computed properties:
Total magnetization = 0.0 μB/cell



Q: What are the energies relative to the best structure? A: one 522; two 0, in meV per atom.



--- one ---
Material: CaCd2Ni2
Method: DFT, PBE
State: relaxed

Cell lengths 7.3887, 7.3887, 3.3629 Å; angles 90.00, 90.00, 90.00 degrees
Last column: nearest neighbours and their distance in Å.
Atoms (fractional coordinates):
1 Ni 0.6245 0.1245 0.0000  1 Ni 2.60, 6 Cd 2.73-2.77
2 Ni 0.3755 0.8755 0.0000  1 Ni 2.60, 6 Cd 2.73-2.77
3 Ni 0.8755 0.6245 0.0000  1 Ni 2.60, 6 Cd 2.73-2.77
4 Ni 0.1245 0.3755 0.0000  1 Ni 2.60, 6 Cd 2.73-2.77
5 Ca 0.5000 0.5000 0.0000  4 Ni 2.92, 8 Cd 3.23
6 Ca 0.0000 0.0000 0.0000  4 Ni 2.92, 8 Cd 3.23
7 Cd 0.8355 0.3355 0.5000  6 Ni 2.73-2.77
8 Cd 0.6645 0.8355 0.5000  6 Ni 2.73-2.77
9 Cd 0.3355 0.1645 0.5000  6 Ni 2.73-2.77
10 Cd 0.1645 0.6645 0.5000  6 Ni 2.73-2.77

Computed properties:
Total magnetization = 0.0 μB/cell



--- two ---
Material: CaCd2Ni2
Method: DFT, PBE
State: relaxed

Cell lengths 7.8293, 7.8293, 2.9911 Å; angles 90.00, 90.00, 90.00 degrees
Last column: nearest neighbours and their distance in Å.
Atoms (fractional coordinates):
1 Ni 0.6699 0.8301 0.5000  6 Cd 2.68-2.79, 2 Ni 2.99
2 Ni 0.8301 0.3301 0.5000  6 Cd 2.68-2.79, 2 Ni 2.99
3 Ni 0.1699 0.6699 0.5000  6 Cd 2.68-2.79, 2 Ni 2.99
4 Ni 0.3301 0.1699 0.5000  6 Cd 2.68-2.79, 2 Ni 2.99
5 Cd 0.1287 0.3713 0.0000  6 Ni 2.68-2.79, 3 Cd 2.85-2.99
6 Cd 0.8713 0.6287 0.0000  6 Ni 2.68-2.79, 3 Cd 2.85-2.99
7 Cd 0.3713 0.8713 0.0000  6 Ni 2.68-2.79, 3 Cd 2.85-2.99
8 Cd 0.6287 0.1287 0.0000  6 Ni 2.68-2.79, 3 Cd 2.85-2.99
9 Ca 0.5000 0.5000 0.0000  2 Ca 2.99, 4 Cd 3.08, 8 Ni 3.27
10 Ca 0.0000 0.0000 0.0000  2 Ca 2.99, 4 Cd 3.08, 8 Ni 3.27

Computed properties:
Total magnetization = 0.0 μB/cell



--- three ---
Material: CaCd2Ni2
Method: DFT, PBE
State: relaxed

Cell lengths 4.2408, 4.2408, 6.2900 Å; angles 70.30, 70.30, 90.00 degrees
Last column: nearest neighbours and their distance in Å.
Atoms (fractional coordinates):
1 Cd 0.2500 0.7500 0.5000  4 Ni 2.68, 4 Cd 3.00
2 Cd 0.7500 0.2500 0.5000  4 Ni 2.68, 4 Cd 3.00
3 Ni 0.6019 0.6019 0.7963  1 Ni 2.25
4 Ni 0.3981 0.3981 0.2037  1 Ni 2.25
5 Ca 0.0000 0.0000 0.0000  8 Ni 3.20, 8 Cd 3.48

Computed properties:
Total magnetization = 0.0 μB/cell



Q: What are the energies relative to the best structure? A: one 40; two 94; three 0, in meV per atom.



--- one ---
Material: Ca2CdSiNi
Method: DFT, PBE
State: relaxed

Cell lengths 5.1380, 4.8969, 5.1380 Å; angles 90.00, 90.00, 90.00 degrees
Last column: nearest neighbours and their distance in Å.
Atoms (fractional coordinates):
1 Cd 0.0000 0.5000 0.0000  2 Ni 2.45
2 Ca 0.5000 0.0000 0.0000  2 Ni 2.57
3 Ca 0.0000 0.0000 0.5000  2 Ni 2.57
4 Si 0.5000 0.5000 0.5000  8 Ca 3.55, 4 Cd 3.63
5 Ni 0.0000 0.0000 0.0000  2 Cd 2.45, 4 Ca 2.57

Computed properties:
Total magnetization = 0.0 μB/cell



--- two ---
Material: Ca2CdSiNi
Method: DFT, PBE
State: relaxed

Cell lengths 5.4329, 5.4329, 4.3143 Å; angles 90.00, 90.00, 90.00 degrees
Last column: nearest neighbours and their distance in Å.
Atoms (fractional coordinates):
1 Ni 0.0000 0.0000 0.0000  2 Si 2.16
2 Ca 0.5000 0.0000 0.0000  2 Ni 2.72
3 Ca 0.0000 0.5000 0.0000  2 Ni 2.72
4 Si 0.0000 0.0000 0.5000  2 Ni 2.16
5 Cd 0.5000 0.5000 0.5000  8 Ca 3.47, 4 Si 3.84

Computed properties:
Total magnetization = 0.0 μB/cell



Q: What are the energies relative to the best structure? A: one 412; two 0, in meV per atom.



--- one ---
Material: Sr2CaCdNi
Method: DFT, PBE
State: relaxed

Cell lengths 5.7609, 5.7609, 5.3937 Å; angles 90.00, 90.00, 90.00 degrees
Last column: nearest neighbours and their distance in Å.
Atoms (fractional coordinates):
1 Sr 0.5000 0.0000 0.0000  2 Ni 2.88
2 Sr 0.0000 0.5000 0.0000  2 Ni 2.88
3 Cd 0.5000 0.5000 0.5000  8 Sr 3.95, 4 Ca 4.07
4 Ni 0.0000 0.0000 0.0000  2 Ca 2.70, 4 Sr 2.88
5 Ca 0.0000 0.0000 0.5000  2 Ni 2.70

Computed properties:
Total magnetization = 0.0 μB/cell



--- two ---
Material: Sr2CaCdNi
Method: DFT, PBE
State: relaxed

Cell lengths 5.7625, 5.7625, 5.1949 Å; angles 90.00, 90.00, 90.00 degrees
Last column: nearest neighbours and their distance in Å.
Atoms (fractional coordinates):
1 Sr 0.0000 0.5000 0.0000  2 Ni 2.88
2 Sr 0.5000 0.0000 0.0000  2 Ni 2.88
3 Ni 0.0000 0.0000 0.0000  2 Cd 2.60, 4 Sr 2.88
4 Ca 0.5000 0.5000 0.5000  8 Sr 3.88, 4 Cd 4.07
5 Cd 0.0000 0.0000 0.5000  2 Ni 2.60

Computed properties:
Total magnetization = 0.0 μB/cell



Q: What are the energies relative to the best structure? A: one 0; two 58, in meV per atom.



--- one ---
Material: CaTlCd2Ni
Method: DFT, PBE
State: relaxed

Cell lengths 5.0332, 5.0332, 4.9948 Å; angles 90.00, 90.00, 90.00 degrees
Last column: nearest neighbours and their distance in Å.
Atoms (fractional coordinates):
1 Ca 0.5000 0.5000 0.5000  8 Cd 3.55, 4 Tl 3.56
2 Tl 0.0000 0.0000 0.5000  2 Ni 2.50
3 Ni 0.0000 0.0000 0.0000  2 Tl 2.50, 4 Cd 2.52
4 Cd 0.0000 0.5000 0.0000  2 Ni 2.52
5 Cd 0.5000 0.0000 0.0000  2 Ni 2.52

Computed properties:
Total magnetization = 0.0 μB/cell



--- two ---
Material: CaTlCd2Ni
Method: DFT, PBE
State: relaxed

Cell lengths 5.0648, 5.0648, 5.1316 Å; angles 90.00, 90.00, 90.00 degrees
Last column: nearest neighbours and their distance in Å.
Atoms (fractional coordinates):
1 Ca 0.0000 0.0000 0.5000  2 Ni 2.57
2 Cd 0.5000 0.0000 0.0000  2 Ni 2.53
3 Cd 0.0000 0.5000 0.0000  2 Ni 2.53
4 Tl 0.5000 0.5000 0.5000  4 Ca 3.58, 8 Cd 3.61
5 Ni 0.0000 0.0000 0.0000  4 Cd 2.53, 2 Ca 2.57

Computed properties:
Total magnetization = 0.0 μB/cell



Q: What are the energies relative to the best structure? A: one 0; two 45, in meV per atom.